DFT (PBE-GGA) results for a relaxed TeAsSe2 crystal.

Its magnetization is 0.00 Bohr magnetons per cell. The uncorrected formation energy is 1.03 eV/f.u. The energy above the most stable polymorph in this dataset is 0.306 eV per atom.

Unit cell a=5.9984 b=5.9984 c=5.9984 alpha=144.23 beta=94.81 gamma=96.02
Fractional coordinates of all 4 atoms:
1 As 0.7500 0.2500 0.5000
2 Te 0.2500 0.7500 0.5000
3 Se 0.9786 0.9786 0.0000
4 Se 0.5214 0.5214 0.0000

---

DFT (PBE-GGA) results for a relaxed TeAs2Se crystal.

Its magnetization is 0.00 Bohr magnetons per cell. The uncorrected formation energy is 0.29 eV/f.u. The energy above the most stable polymorph in this dataset is 0.000 eV per atom.

Unit cell a=4.0552 b=4.6269 c=6.7877 alpha=62.54 beta=90.00 gamma=90.00
Fractional coordinates of all 4 atoms:
1 As 0.0000 0.9970 0.0560
2 As 0.5000 0.2459 0.2155
3 Te 0.5000 0.7575 0.8378
4 Se 0.0000 0.4996 0.3907

---

DFT (PBE-GGA) results for a relaxed Te2AsSe crystal.

Its magnetization is 0.00 Bohr magnetons per cell. The uncorrected formation energy is 0.95 eV/f.u. The energy above the most stable polymorph in this dataset is 0.185 eV per atom.

Unit cell a=7.2851 b=7.2851 c=7.2851 alpha=149.68 beta=147.32 gamma=45.17
Fractional coordinates of all 4 atoms:
1 As 0.2500 0.7500 0.5000
2 Te 0.0498 0.0498 0.0000
3 Te 0.4502 0.4502 0.0000
4 Se 0.7500 0.2500 0.5000

---

Number 1: raw total energy -3.43 eV/atom. Number 2: raw total energy -3.91 eV/atom. Number 3: raw total energy -3.37 eV/atom.